[1]
# PBE HgIr15, relaxed
# Excess energy over the best structure of this formula in the dataset, meV per atom: 2
# Volume, Å³/f.u.: 333
# DFT formation energy, eV per atom: 0.13
data_HgIr15
_space_group_name_H-M_alt 'P 1'
_space_group_IT_number 1
_space_group_name_Hall 'P 1'
_cell_length_a 7.728
_cell_length_b 44.481
_cell_length_c 3.870
_cell_angle_alpha 90.00
_cell_angle_beta 90.00
_cell_angle_gamma 90.00
loop_
_atom_site_label
_atom_site_type_symbol
_atom_site_fract_x
_atom_site_fract_y
_atom_site_fract_z
Hg1 Hg 0.141 0.342 0.000
Hg2 Hg 0.859 0.658 0.000
Hg3 Hg 0.859 0.342 0.500
Hg4 Hg 0.141 0.658 0.500
Ir1 Ir 0.375 0.022 0.000
Ir2 Ir 0.875 0.022 0.000
Ir3 Ir 0.625 0.065 0.000
Ir4 Ir 0.125 0.066 0.000
Ir5 Ir 0.375 0.109 0.000
Ir6 Ir 0.875 0.109 0.000
Ir7 Ir 0.626 0.153 0.000
Ir8 Ir 0.124 0.153 0.000
Ir9 Ir 0.377 0.196 0.000
Ir10 Ir 0.874 0.197 0.000
Ir11 Ir 0.624 0.240 0.000
Ir12 Ir 0.125 0.240 0.000
Ir13 Ir 0.876 0.283 0.000
Ir14 Ir 0.371 0.283 0.000
Ir15 Ir 0.620 0.324 0.000
Ir16 Ir 0.380 0.676 0.000
Ir17 Ir 0.629 0.717 0.000
Ir18 Ir 0.124 0.717 0.000
Ir19 Ir 0.875 0.760 0.000
Ir20 Ir 0.376 0.760 0.000
Ir21 Ir 0.126 0.803 0.000
Ir22 Ir 0.623 0.804 0.000
Ir23 Ir 0.876 0.847 0.000
Ir24 Ir 0.374 0.847 0.000
Ir25 Ir 0.125 0.891 0.000
Ir26 Ir 0.625 0.891 0.000
Ir27 Ir 0.875 0.934 0.000
Ir28 Ir 0.375 0.935 0.000
Ir29 Ir 0.125 0.978 0.000
Ir30 Ir 0.625 0.978 0.000
Ir31 Ir 0.625 0.022 0.500
Ir32 Ir 0.125 0.022 0.500
Ir33 Ir 0.375 0.065 0.500
Ir34 Ir 0.875 0.066 0.500
Ir35 Ir 0.625 0.109 0.500
Ir36 Ir 0.125 0.109 0.500
Ir37 Ir 0.374 0.153 0.500
Ir38 Ir 0.876 0.153 0.500
Ir39 Ir 0.623 0.196 0.500
Ir40 Ir 0.126 0.197 0.500
Ir41 Ir 0.376 0.240 0.500
Ir42 Ir 0.875 0.240 0.500
Ir43 Ir 0.124 0.283 0.500
Ir44 Ir 0.629 0.283 0.500
Ir45 Ir 0.380 0.324 0.500
Ir46 Ir 0.620 0.676 0.500
Ir47 Ir 0.371 0.717 0.500
Ir48 Ir 0.876 0.717 0.500
Ir49 Ir 0.125 0.760 0.500
Ir50 Ir 0.624 0.760 0.500
Ir51 Ir 0.874 0.803 0.500
Ir52 Ir 0.377 0.804 0.500
Ir53 Ir 0.124 0.847 0.500
Ir54 Ir 0.626 0.847 0.500
Ir55 Ir 0.875 0.891 0.500
Ir56 Ir 0.375 0.891 0.500
Ir57 Ir 0.125 0.934 0.500
Ir58 Ir 0.625 0.935 0.500
Ir59 Ir 0.875 0.978 0.500
Ir60 Ir 0.375 0.978 0.500

---

[2]
# PBE ZnNiMoPt, relaxed
# Excess energy over the best structure of this formula in the dataset, meV per atom: 0
# Volume, Å³/f.u.: 57
# DFT formation energy, eV per atom: -0.06
data_ZnNiMoPt
_space_group_name_H-M_alt 'P 1'
_space_group_IT_number 1
_space_group_name_Hall 'P 1'
_cell_length_a 4.311
_cell_length_b 4.311
_cell_length_c 4.311
_cell_angle_alpha 60.00
_cell_angle_beta 60.00
_cell_angle_gamma 60.00
loop_
_atom_site_label
_atom_site_type_symbol
_atom_site_fract_x
_atom_site_fract_y
_atom_site_fract_z
Mo1 Mo 0.250 0.250 0.250
Ni1 Ni 0.750 0.750 0.750
Pt1 Pt 0.500 0.500 0.500
Zn1 Zn 0.000 0.000 0.000

---

[3]
# PBE SrCd2S3, relaxed
# Volume, Å³/f.u.: 143
data_SrCd2S3
_space_group_name_H-M_alt 'P 1'
_space_group_IT_number 1
_space_group_name_Hall 'P 1'
_cell_length_a 7.028
_cell_length_b 7.028
_cell_length_c 10.530
_cell_angle_alpha 90.00
_cell_angle_beta 90.00
_cell_angle_gamma 33.31
loop_
_atom_site_label
_atom_site_type_symbol
_atom_site_fract_x
_atom_site_fract_y
_atom_site_fract_z
Cd1 Cd 0.000 0.000 0.000
Cd2 Cd 0.485 0.485 0.250
Cd3 Cd 0.000 0.000 0.500
Cd4 Cd 0.515 0.515 0.750
S1 S 0.367 0.367 0.063
S2 S 0.099 0.099 0.250
S3 S 0.367 0.367 0.437
S4 S 0.633 0.633 0.563
S5 S 0.901 0.901 0.750
S6 S 0.633 0.633 0.937
Sr1 Sr 0.762 0.762 0.250
Sr2 Sr 0.238 0.238 0.750

---

[4]
# PBE LiTbSO, relaxed
# Excess energy over the best structure of this formula in the dataset, meV per atom: 93
# Volume, Å³/f.u.: 73
data_LiTbSO
_space_group_name_H-M_alt 'P 1'
_space_group_IT_number 1
_space_group_name_Hall 'P 1'
_cell_length_a 5.557
_cell_length_b 5.542
_cell_length_c 9.926
_cell_angle_alpha 90.00
_cell_angle_beta 107.11
_cell_angle_gamma 90.00
loop_
_atom_site_label
_atom_site_type_symbol
_atom_site_fract_x
_atom_site_fract_y
_atom_site_fract_z
Li1 Li 0.521 0.530 0.432
Li2 Li 0.043 0.271 0.433
Li3 Li 0.957 0.771 0.567
Li4 Li 0.479 0.030 0.568
O1 O 0.248 0.075 0.000
O2 O 0.751 0.078 0.001
O3 O 0.249 0.578 0.999
O4 O 0.752 0.575 0.000
S1 S 0.361 0.149 0.329
S2 S 0.853 0.638 0.330
S3 S 0.147 0.138 0.670
S4 S 0.639 0.649 0.671
Tb1 Tb 0.557 0.330 0.116
Tb2 Tb 0.058 0.830 0.119
Tb3 Tb 0.942 0.330 0.881
Tb4 Tb 0.443 0.830 0.884

---

[5]
# PBE Rb2Pm, relaxed
# Excess energy over the best structure of this formula in the dataset, meV per atom: 0
# Volume, Å³/f.u.: 167
data_Rb2Pm
_space_group_name_H-M_alt 'P 1'
_space_group_IT_number 1
_space_group_name_Hall 'P 1'
_cell_length_a 7.788
_cell_length_b 7.788
_cell_length_c 7.788
_cell_angle_alpha 60.00
_cell_angle_beta 60.00
_cell_angle_gamma 60.00
loop_
_atom_site_label
_atom_site_type_symbol
_atom_site_fract_x
_atom_site_fract_y
_atom_site_fract_z
Pm1 Pm 0.000 0.000 0.000
Pm2 Pm 0.250 0.250 0.250
Rb1 Rb 0.625 0.625 0.125
Rb2 Rb 0.625 0.125 0.625
Rb3 Rb 0.125 0.625 0.625
Rb4 Rb 0.625 0.625 0.625

---

[6]
# PBE RbLiThSe3, relaxed
# Volume, Å³/f.u.: 182
data_RbLiThSe3
_space_group_name_H-M_alt 'P 1'
_space_group_IT_number 1
_space_group_name_Hall 'P 1'
_cell_length_a 7.768
_cell_length_b 7.768
_cell_length_c 11.241
_cell_angle_alpha 90.00
_cell_angle_beta 90.00
_cell_angle_gamma 147.49
loop_
_atom_site_label
_atom_site_type_symbol
_atom_site_fract_x
_atom_site_fract_y
_atom_site_fract_z
Li1 Li 0.463 0.537 0.250
Li2 Li 0.537 0.463 0.750
Rb1 Rb 0.742 0.258 0.250
Rb2 Rb 0.258 0.742 0.750
Se1 Se 0.376 0.624 0.055
Se2 Se 0.055 0.945 0.250
Se3 Se 0.376 0.624 0.445
Se4 Se 0.624 0.376 0.555
Se5 Se 0.945 0.055 0.750
Se6 Se 0.624 0.376 0.945
Th1 Th 0.000 0.000 0.000
Th2 Th 0.000 0.000 0.500

---

[7]
# PBE NaPaMo, relaxed
# Excess energy over the best structure of this formula in the dataset, meV per atom: 0
# Volume, Å³/f.u.: 68
data_NaPaMo
_space_group_name_H-M_alt 'P 1'
_space_group_IT_number 1
_space_group_name_Hall 'P 1'
_cell_length_a 4.588
_cell_length_b 4.588
_cell_length_c 4.588
_cell_angle_alpha 60.00
_cell_angle_beta 60.00
_cell_angle_gamma 60.00
loop_
_atom_site_label
_atom_site_type_symbol
_atom_site_fract_x
_atom_site_fract_y
_atom_site_fract_z
Mo1 Mo 0.000 0.000 0.000
Na1 Na 0.250 0.250 0.250
Pa1 Pa 0.750 0.750 0.750

---

[8]
# PBE Pr4IrBr5, relaxed
# Volume, Å³/f.u.: 341
data_Pr4IrBr5
_space_group_name_H-M_alt 'P 1'
_space_group_IT_number 1
_space_group_name_Hall 'P 1'
_cell_length_a 9.837
_cell_length_b 9.837
_cell_length_c 8.801
_cell_angle_alpha 103.33
_cell_angle_beta 103.33
_cell_angle_gamma 24.33
loop_
_atom_site_label
_atom_site_type_symbol
_atom_site_fract_x
_atom_site_fract_y
_atom_site_fract_z
Br1 Br 0.827 0.827 0.163
Br2 Br 0.168 0.168 0.337
Br3 Br 0.500 0.500 0.500
Br4 Br 0.832 0.832 0.663
Br5 Br 0.173 0.173 0.837
Ir1 Ir 0.500 0.500 0.000
Pr1 Pr 0.652 0.652 0.082
Pr2 Pr 0.001 0.001 0.219
Pr3 Pr 0.999 0.999 0.781
Pr4 Pr 0.348 0.348 0.918

---

[9]
# PBE CsAcFe, relaxed
# Excess energy over the best structure of this formula in the dataset, meV per atom: 129
# Volume, Å³/f.u.: 98
data_CsAcFe
_space_group_name_H-M_alt 'P 1'
_space_group_IT_number 1
_space_group_name_Hall 'P 1'
_cell_length_a 5.174
_cell_length_b 5.174
_cell_length_c 5.174
_cell_angle_alpha 60.00
_cell_angle_beta 60.00
_cell_angle_gamma 60.00
loop_
_atom_site_label
_atom_site_type_symbol
_atom_site_fract_x
_atom_site_fract_y
_atom_site_fract_z
Ac1 Ac 0.750 0.750 0.750
Cs1 Cs 0.000 0.000 0.000
Fe1 Fe 0.250 0.250 0.250

---

[10]
# PBE Sc2AgGe2, relaxed
# Volume, Å³/f.u.: 99
data_Sc2AgGe2
_space_group_name_H-M_alt 'P 1'
_space_group_IT_number 1
_space_group_name_Hall 'P 1'
_cell_length_a 7.272
_cell_length_b 7.272
_cell_length_c 7.272
_cell_angle_alpha 149.41
_cell_angle_beta 149.41
_cell_angle_gamma 43.80
loop_
_atom_site_label
_atom_site_type_symbol
_atom_site_fract_x
_atom_site_fract_y
_atom_site_fract_z
Ag1 Ag 0.000 0.000 0.000
Ge1 Ge 0.750 0.250 0.500
Ge2 Ge 0.250 0.750 0.500
Sc1 Sc 0.395 0.395 0.000
Sc2 Sc 0.605 0.605 0.000

---

[11]
# PBE Pr3Mg3Tl2Zn, relaxed
# Volume, Å³/f.u.: 243
data_Pr3Mg3Tl2Zn
_space_group_name_H-M_alt 'P 1'
_space_group_IT_number 1
_space_group_name_Hall 'P 1'
_cell_length_a 7.687
_cell_length_b 7.687
_cell_length_c 4.746
_cell_angle_alpha 90.00
_cell_angle_beta 90.00
_cell_angle_gamma 120.00
loop_
_atom_site_label
_atom_site_type_symbol
_atom_site_fract_x
_atom_site_fract_y
_atom_site_fract_z
Mg1 Mg 0.235 0.000 0.500
Mg2 Mg 0.000 0.235 0.500
Mg3 Mg 0.765 0.765 0.500
Pr1 Pr 0.592 0.000 0.000
Pr2 Pr 0.408 0.408 0.000
Pr3 Pr 0.000 0.592 0.000
Tl1 Tl 0.667 0.333 0.500
Tl2 Tl 0.333 0.667 0.500
Zn1 Zn 0.000 0.000 0.000

---

[12]
# PBE Li3MoH6, relaxed
# Volume, Å³/f.u.: 91
data_Li3MoH6
_space_group_name_H-M_alt 'P 1'
_space_group_IT_number 1
_space_group_name_Hall 'P 1'
_cell_length_a 5.043
_cell_length_b 5.043
_cell_length_c 5.043
_cell_angle_alpha 60.00
_cell_angle_beta 60.00
_cell_angle_gamma 60.00
loop_
_atom_site_label
_atom_site_type_symbol
_atom_site_fract_x
_atom_site_fract_y
_atom_site_fract_z
H1 H 0.252 0.748 0.252
H2 H 0.748 0.252 0.252
H3 H 0.748 0.748 0.252
H4 H 0.748 0.252 0.748
H5 H 0.252 0.252 0.748
H6 H 0.252 0.748 0.748
Li1 Li 0.250 0.250 0.250
Li2 Li 0.500 0.500 0.500
Li3 Li 0.750 0.750 0.750
Mo1 Mo 0.000 0.000 0.000

---

no.,raw total energy (eV/cell)
1,-524.24
2,-23.98
3,-43.41
4,-100.18
5,-8.91
6,-60.48
7,-18.19
8,-51.14
9,-8.53
10,-25.52
11,-28.03
12,-37.13